Entry 1:
Below is Tb2Si3NiPt4 after structural relaxation, with properties calculated at the PBE level.

```
10
Lattice="4.166 0.000 0.000 0.000 4.166 0.000 0.000 0.000 10.027" Properties=species:S:1:pos:R:3 pbc="T T T"
Tb 0.000 2.083 7.402
Ni 2.083 2.083 5.013
Pt 2.083 0.000 6.355
Pt 2.083 2.083 0.000
Si 0.000 2.083 1.339
Si 2.083 0.000 8.688
Pt 0.000 0.000 0.000
Tb 2.083 0.000 2.625
Pt 0.000 2.083 3.671
Si 0.000 0.000 5.013
```

- Formation energy from raw total energies: -967 kJ/mol of formula units



Entry 2:
Below is ThSiNiPt6 after structural relaxation, with properties calculated at the PBE level.

```
18
Lattice="-0.827 2.404 -6.859 -2.674 -7.757 -2.396 -3.522 4.140 5.776" Properties=species:S:1:pos:R:3 pbc="T T T"
Pt -3.148 -5.501 -1.548
Pt -2.890 -2.998 -2.610
Pt -5.523 -2.245 -2.113
Th -2.167 -1.524 -0.273
Pt -4.134 1.785 -0.868
Pt -3.312 -1.771 -6.114
Si -1.750 -2.677 -4.627
Pt -1.923 2.258 -4.869
Pt -4.910 -0.762 0.325
Si -0.413 1.202 -3.429
Pt -1.501 1.031 -1.366
Pt -3.711 0.557 2.635
Pt -3.875 4.287 -1.931
Ni -1.761 2.070 2.888
Ni -2.175 3.272 -0.541
Th -4.856 0.310 -3.206
Pt -5.100 -3.472 1.390
Pt -2.113 -0.451 -3.804
```

- Formation energy from raw total energies: -369 kJ/mol of formula units



Entry 3:
Below is Th2Si3NiPt4 after structural relaxation, with properties calculated at the PBE level.

```
10
Lattice="-2.156 3.502 -1.074 0.058 -1.214 -4.073 -8.605 -4.887 1.334" Properties=species:S:1:pos:R:3 pbc="T T T"
Th -6.363 -4.237 -1.045
Pt -1.049 1.144 -2.574
Th -3.291 0.494 -0.194
Si -4.302 -2.444 0.667
Pt 0.000 0.000 0.000
Si -8.558 -2.497 0.623
Si -1.096 -1.246 -1.862
Ni -5.351 -1.299 -1.907
Pt -3.149 -2.412 -1.544
Pt -6.505 -1.331 0.304
```

- Formation energy from raw total energies: -984 kJ/mol of formula units



Entry 4:
Below is ThSiNi2Pt2 after structural relaxation, with properties calculated at the PBE level.

```
6
Lattice="-1.652 2.245 -3.524 0.762 -3.564 -2.628 -5.078 -1.933 1.149" Properties=species:S:1:pos:R:3 pbc="T T T"
Pt -0.826 1.123 -1.762
Ni -1.887 -1.208 -2.750
Th -2.539 -0.966 0.574
Pt 0.381 -1.782 -1.314
Si 0.000 0.000 0.000
Ni -4.081 -2.043 -2.253
```

- Formation energy from raw total energies: -74 kJ/mol of formula units



Entry 5:
Below is ThSi2NiPt2 after structural relaxation, with properties calculated at the PBE level.

```
6
Lattice="-3.983 0.219 -0.092 -0.179 -3.782 -1.257 1.802 -0.453 7.438" Properties=species:S:1:pos:R:3 pbc="T T T"
Si -2.275 -3.339 4.038
Pt -2.131 -1.008 3.336
Pt -0.229 -3.008 2.753
Ni 0.000 0.000 0.000
Th -2.081 -1.782 -0.674
Si -0.085 -0.678 2.051
```

- Formation energy from raw total energies: -376 kJ/mol of formula units



Entry 6:
Below is Tm2Si3NiPt4 after structural relaxation, with properties calculated at the PBE level.

```
10
Lattice="4.105 0.000 0.000 0.000 4.105 0.000 0.000 0.000 10.137" Properties=species:S:1:pos:R:3 pbc="T T T"
Si 0.000 0.000 5.068
Pt 2.053 2.053 0.000
Tm 2.053 0.000 2.654
Pt 0.000 0.000 0.000
Pt 0.000 2.053 3.681
Si 2.053 0.000 8.769
Ni 2.053 2.053 5.068
Tm 0.000 2.053 7.483
Pt 2.053 0.000 6.456
Si 0.000 2.053 1.368
```

- Formation energy from raw total energies: -943 kJ/mol of formula units



Entry 7:
Below is TmSi2Ni2Pt after structural relaxation, with properties calculated at the PBE level.

```
6
Lattice="4.540 0.000 0.000 0.000 4.540 0.000 0.000 0.000 5.325" Properties=species:S:1:pos:R:3 pbc="T T T"
Tm 0.000 0.000 2.662
Si 2.270 0.000 0.000
Ni 2.270 2.270 1.286
Si 0.000 2.270 0.000
Pt 0.000 0.000 0.000
Ni 2.270 2.270 4.039
```

- Formation energy from raw total energies: -50 kJ/mol of formula units



Entry 8:
Below is TmSi2Ni7Pt after structural relaxation, with properties calculated at the PBE level.

```
11
Lattice="-3.531 1.193 0.231 -0.398 -0.465 -3.684 -2.245 -13.228 3.806" Properties=species:S:1:pos:R:3 pbc="T T T"
Ni -0.815 -2.114 -1.538
Ni 0.000 0.000 0.000
Ni -1.674 -5.117 0.827
Ni -3.793 -11.216 -0.066
Si -1.004 -3.069 0.496
Ni -4.499 -7.383 -0.474
Tm -1.965 0.364 -1.726
Pt -2.304 -6.665 -0.802
Ni -5.362 -10.395 1.892
Si -5.170 -9.431 -0.143
Ni -2.378 -1.277 0.418
```

- Formation energy from raw total energies: 200 kJ/mol of formula units